[1]
Below is an optimized crystal structure of ZnBiSe2, with properties calculated at the PBE-GGA level.

```
data_ZnBiSe2
_cell_length_a 6.944
_cell_length_b 6.944
_cell_length_c 9.244
_cell_angle_alpha 90.00
_cell_angle_beta 90.00
_cell_angle_gamma 90.00
_space_group_name_H-M_alt 'I -4 2 d'
_space_group_IT_number 122
_space_group_name_Hall 'I -4 2bw'
loop_
_atom_site_label
_atom_site_fract_x
_atom_site_fract_y
_atom_site_fract_z
_atom_site_occupancy
Zn1 0.000 0.000 0.000 1
Bi1 0.000 0.000 0.500 1
Se1 0.199 0.250 0.125 1
```

Values from the calculation:
- theoretical density (g/cm3) = 6.44
- offset from the most stable computed form (meV/atom) = 0
- uncorrected energy (eV for the cell shown) = -52.5
- M_tot (μB/f.u.) = 0.0
- density of states at the Fermi level (states/eV/f.u.) = 3.2
- E_form (uncorrected) (eV/atom) = -0.249



[2]
Below is an optimized crystal structure of ZnBiSe2, with properties calculated at the PBE-GGA level.

```
data_ZnBiSe2
_cell_length_a 4.6285
_cell_length_b 4.6285
_cell_length_c 22.7971
_cell_angle_alpha 90.00
_cell_angle_beta 90.00
_cell_angle_gamma 120.00
_space_group_name_H-M_alt 'R -3 m'
_space_group_IT_number 166
_space_group_name_Hall '-R 3 2"'
loop_
_atom_site_label
_atom_site_fract_x
_atom_site_fract_y
_atom_site_fract_z
_atom_site_occupancy
Zn1 0.0000 0.0000 0.0000 1
Bi1 0.0000 0.0000 0.5000 1
Se1 0.0000 0.0000 0.1029 1
```

Values from the calculation:
- theoretical density (g/cm3) = 5.09
- offset from the most stable computed form (meV/atom) = 111
- uncorrected energy (eV for the cell shown) = -38.0
- M_tot (μB/f.u.) = 0.0
- density of states at the Fermi level (states/eV/f.u.) = 2.0
- E_form (uncorrected) (eV/atom) = -0.138



[3]
Below is an optimized crystal structure of ZnBiSe2, with properties calculated at the PBE-GGA level.

```
data_ZnBiSe2
_cell_length_a 7.154
_cell_length_b 7.154
_cell_length_c 7.154
_cell_angle_alpha 90.00
_cell_angle_beta 90.00
_cell_angle_gamma 90.00
_space_group_name_H-M_alt 'F m -3 m'
_space_group_IT_number 225
_space_group_name_Hall '-F 4 2 3'
loop_
_atom_site_label
_atom_site_fract_x
_atom_site_fract_y
_atom_site_fract_z
_atom_site_occupancy
Zn1 0.000 0.000 0.000 1
Bi1 0.000 0.000 0.500 1
Se1 0.250 0.250 0.250 1
```

Values from the calculation:
- theoretical density (g/cm3) = 7.84
- offset from the most stable computed form (meV/atom) = 253
- uncorrected energy (eV for the cell shown) = -48.4
- M_tot (μB/f.u.) = 0.0
- density of states at the Fermi level (states/eV/f.u.) = 1.9
- E_form (uncorrected) (eV/atom) = 0.004



[4]
Below is an optimized crystal structure of ZnBiSe, with properties calculated at the PBE-GGA level.

```
data_ZnBiSe
_cell_length_a 20.461
_cell_length_b 4.189
_cell_length_c 5.172
_cell_angle_alpha 90.00
_cell_angle_beta 99.77
_cell_angle_gamma 90.00
_space_group_name_H-M_alt 'C 1 2/m 1'
_space_group_IT_number 12
_space_group_name_Hall '-C 2y'
loop_
_atom_site_label
_atom_site_fract_x
_atom_site_fract_y
_atom_site_fract_z
_atom_site_occupancy
Zn1 0.059 0.000 0.076 1
Bi1 0.244 0.000 0.782 1
Se1 0.122 0.500 0.210 1
```

Values from the calculation:
- theoretical density (g/cm3) = 5.37
- uncorrected energy (eV for the cell shown) = -35.8
- M_tot (μB/f.u.) = 0.0
- density of states at the Fermi level (states/eV/f.u.) = 0.1
- E_form (uncorrected) (eV/atom) = -0.104



What did the first record say?
Below is an optimized crystal structure of ZnBiSe2, with properties calculated at the PBE-GGA level.

```
data_ZnBiSe2
_cell_length_a 6.944
_cell_length_b 6.944
_cell_length_c 9.244
_cell_angle_alpha 90.00
_cell_angle_beta 90.00
_cell_angle_gamma 90.00
_space_group_name_H-M_alt 'I -4 2 d'
_space_group_IT_number 122
_space_group_name_Hall 'I -4 2bw'
loop_
_atom_site_label
_atom_site_fract_x
_atom_site_fract_y
_atom_site_fract_z
_atom_site_occupancy
Zn1 0.000 0.000 0.000 1
Bi1 0.000 0.000 0.500 1
Se1 0.199 0.250 0.125 1
```

Values from the calculation:
- theoretical density (g/cm3) = 6.44
- offset from the most stable computed form (meV/atom) = 0
- uncorrected energy (eV for the cell shown) = -52.5
- M_tot (μB/f.u.) = 0.0
- density of states at the Fermi level (states/eV/f.u.) = 3.2
- E_form (uncorrected) (eV/atom) = -0.249